1.
A plane-wave DFT calculation with PBE was carried out for ZrAl2Re after structural relaxation.

Calculated volume in Å³ per atom: 17.191
Energy of formation in kJ per mole of atoms: -4
ρ in g/cm3: 8.00
Excess energy over the best structure of this formula in the dataset in meV per atom: 241.0

abc: 9.4044 9.4044 9.4044
angles: 17.92 17.92 17.92
With the nearest neighbours (Å) after each atom.
Sites, in units of the cell vectors:
Zr1 0.0000 0.0000 0.0000  6 Zr 2.93, 6 Al 3.07
Al1 0.2411 0.2411 0.2411  3 Re 2.67, 6 Al 2.93
Al2 0.7589 0.7589 0.7589  3 Re 2.67, 6 Al 2.93
Re1 0.5000 0.5000 0.5000  6 Al 2.67, 6 Re 2.93

---

2.
A plane-wave DFT calculation with PBE was carried out for Zr2AlRe after structural relaxation.

Calculated volume in Å³ per atom: 18.717
Energy of formation in kJ per mole of atoms: -14
ρ in g/cm3: 8.77

abc: 5.4184 5.4184 5.4184
angles: 136.33 136.33 63.47
With the nearest neighbours (Å) after each atom.
Sites, in units of the cell vectors:
Zr1 0.0000 0.0000 0.0000  4 Re 2.85, 4 Zr 3.06, 4 Al 3.06
Zr2 0.7500 0.2500 0.5000  4 Al 2.85, 4 Re 3.06, 4 Zr 3.06
Al1 0.2500 0.7500 0.5000  8 Zr 2.85-3.06, 4 Re 3.06
Re1 0.5000 0.5000 0.0000  8 Zr 2.85-3.06, 4 Al 3.06

---

3.
A plane-wave DFT calculation with PBE was carried out for ZrAl2Re after structural relaxation.

Calculated volume in Å³ per atom: 16.544
Energy of formation in kJ per mole of atoms: -21
ρ in g/cm3: 8.32
Excess energy over the best structure of this formula in the dataset in meV per atom: 65.2

abc: 4.7860 4.7860 4.7860
angles: 127.96 127.96 76.68
With the nearest neighbours (Å) after each atom.
Sites, in units of the cell vectors:
Zr1 0.0000 0.0000 0.0000  8 Al 2.82, 4 Re 2.97
Al1 0.2500 0.7500 0.5000  4 Zr 2.82, 4 Re 2.82, 4 Al 2.97
Al2 0.7500 0.2500 0.5000  4 Zr 2.82, 4 Re 2.82, 4 Al 2.97
Re1 0.5000 0.5000 0.0000  8 Al 2.82, 4 Zr 2.97

---

4.
A plane-wave DFT calculation with PBE was carried out for ZrAl2Re after structural relaxation.

Calculated volume in Å³ per atom: 16.739
Energy of formation in kJ per mole of atoms: -21
ρ in g/cm3: 8.22
Excess energy over the best structure of this formula in the dataset in meV per atom: 65.2

abc: 4.8172 4.8172 4.8172
angles: 128.28 128.28 76.17
With the nearest neighbours (Å) after each atom.
Sites, in units of the cell vectors:
Zr1 0.0000 0.0000 0.0000  4 Re 2.83, 8 Al 2.83-2.97
Al1 0.2500 0.7500 0.5000  4 Zr 2.83, 4 Al 2.83, 4 Re 2.97
Al2 0.5000 0.5000 0.0000  4 Re 2.83, 4 Al 2.83, 4 Zr 2.97
Re1 0.7500 0.2500 0.5000  4 Zr 2.83, 8 Al 2.83-2.97

---

5.
A plane-wave DFT calculation with PBE was carried out for Zr2AlRe after structural relaxation.

Calculated volume in Å³ per atom: 18.805
Energy of formation in kJ per mole of atoms: -19
ρ in g/cm3: 8.73

abc: 2.9765 4.2578 5.9988
angles: 90.00 98.35 90.00
With the nearest neighbours (Å) after each atom.
Sites, in units of the cell vectors:
Zr1 0.1096 0.0000 0.2583  2 Re 2.74, 2 Al 2.97, 3 Zr 2.98-3.06
Zr2 0.8904 0.0000 0.7417  2 Re 2.74, 2 Al 2.97, 3 Zr 2.98-3.06
Al1 0.5000 0.5000 0.0000  8 Zr 2.97-3.07, 2 Al 2.98, 2 Re 3.00
Re1 0.5000 0.5000 0.5000  4 Zr 2.74, 2 Re 2.98, 2 Al 3.00

---

6.
A plane-wave DFT calculation with PBE was carried out for ZrAl2Re after structural relaxation.

Calculated volume in Å³ per atom: 16.734
Energy of formation in kJ per mole of atoms: -11
ρ in g/cm3: 8.22
Excess energy over the best structure of this formula in the dataset in meV per atom: 168.4

abc: 5.1060 5.1060 2.8005
angles: 90.00 90.00 113.54
With the nearest neighbours (Å) after each atom.
Sites, in units of the cell vectors:
Zr1 0.0000 0.0000 0.0000  2 Re 2.80, 2 Zr 2.80, 8 Al 2.91
Al1 0.0000 0.5000 0.5000  4 Al 2.80, 4 Zr 2.91, 4 Re 2.91
Al2 0.5000 0.0000 0.5000  4 Al 2.80, 4 Zr 2.91, 4 Re 2.91
Re1 0.5000 0.5000 0.0000  2 Zr 2.80, 2 Re 2.80, 8 Al 2.91

---

7.
A plane-wave DFT calculation with PBE was carried out for ZrAlRe3 after structural relaxation.

Calculated volume in Å³ per atom: 21.903
Energy of formation in kJ per mole of atoms: 246
ρ in g/cm3: 10.26
Excess energy over the best structure of this formula in the dataset in meV per atom: 1376.1

abc: 4.7844 4.7844 4.7844
angles: 90.00 90.00 90.00
With the nearest neighbours (Å) after each atom.
Sites, in units of the cell vectors:
Zr1 0.0000 0.0000 0.0000  6 Re 2.39
Al1 0.5000 0.5000 0.5000  12 Re 3.38
Re1 0.0000 0.0000 0.5000  2 Zr 2.39
Re2 0.0000 0.5000 0.0000  2 Zr 2.39
Re3 0.5000 0.0000 0.0000  2 Zr 2.39

---

8.
A plane-wave DFT calculation with PBE was carried out for Zr2Al3Re after structural relaxation.

Calculated volume in Å³ per atom: 17.535
Energy of formation in kJ per mole of atoms: -46
ρ in g/cm3: 7.10

abc: 5.2988 5.2988 5.2988
angles: 60.00 60.00 60.00
With the nearest neighbours (Å) after each atom.
Sites, in units of the cell vectors:
Zr1 0.1301 0.1301 0.1301  9 Al 3.05-3.14, 3 Re 3.10, 4 Zr 3.20-3.38
Zr2 0.8699 0.8699 0.8699  9 Al 3.05-3.14, 3 Re 3.10, 4 Zr 3.20-3.38
Al1 0.0000 0.5000 0.5000  4 Al 2.65, 2 Re 2.65
Al2 0.5000 0.0000 0.5000  4 Al 2.65, 2 Re 2.65
Al3 0.5000 0.5000 0.0000  4 Al 2.65, 2 Re 2.65
Re1 0.5000 0.5000 0.5000  6 Al 2.65

---

9.
A plane-wave DFT calculation with PBE was carried out for ZrAl2Re after structural relaxation.

Calculated volume in Å³ per atom: 16.704
Energy of formation in kJ per mole of atoms: -19
ρ in g/cm3: 8.24
Excess energy over the best structure of this formula in the dataset in meV per atom: 82.0

abc: 2.7827 4.0875 5.8743
angles: 90.00 90.00 90.00
With the nearest neighbours (Å) after each atom.
Sites, in units of the cell vectors:
Zr1 0.0000 0.0000 0.0000  2 Zr 2.78, 2 Re 2.94, 8 Al 2.97
Al1 0.5000 0.5000 0.2803  3 Al 2.58-2.78, 4 Re 2.79
Al2 0.5000 0.5000 0.7197  3 Al 2.58-2.78, 4 Re 2.79
Re1 0.0000 0.0000 0.5000  2 Re 2.78, 8 Al 2.79, 2 Zr 2.94

---

10.
A plane-wave DFT calculation with PBE was carried out for Zr2Al2Re after structural relaxation.

Calculated volume in Å³ per atom: 18.133
Energy of formation in kJ per mole of atoms: -33
ρ in g/cm3: 7.74

abc: 6.9158 6.9158 3.7913
angles: 90.00 90.00 90.00
With the nearest neighbours (Å) after each atom.
Sites, in units of the cell vectors:
Zr1 0.1746 0.3254 0.0000  6 Al 2.69-2.85
Zr2 0.3254 0.8254 0.0000  6 Al 2.69-2.85
Zr3 0.6746 0.1746 0.0000  6 Al 2.69-2.85
Zr4 0.8254 0.6746 0.0000  6 Al 2.69-2.85
Al1 0.1302 0.6302 0.5000  1 Al 2.55, 6 Zr 2.69-2.85, 2 Re 2.71
Al2 0.3698 0.1302 0.5000  1 Al 2.55, 6 Zr 2.69-2.85, 2 Re 2.71
Al3 0.6302 0.8698 0.5000  1 Al 2.55, 6 Zr 2.69-2.85, 2 Re 2.71
Al4 0.8698 0.3698 0.5000  1 Al 2.55, 6 Zr 2.69-2.85, 2 Re 2.71
Re1 0.0000 0.0000 0.5000  4 Al 2.71
Re2 0.5000 0.5000 0.5000  4 Al 2.71

---

11.
A plane-wave DFT calculation with PBE was carried out for ZrAl2Re after structural relaxation.

Calculated volume in Å³ per atom: 16.662
Energy of formation in kJ per mole of atoms: -15
ρ in g/cm3: 8.26
Excess energy over the best structure of this formula in the dataset in meV per atom: 126.6

abc: 5.2095 5.2095 2.7856
angles: 97.18 97.18 114.98
With the nearest neighbours (Å) after each atom.
Sites, in units of the cell vectors:
Zr1 0.0000 0.0000 0.0000  2 Zr 2.79, 8 Al 2.80-3.10, 2 Re 2.80
Al1 0.0000 0.5000 0.5000  4 Al 2.79-2.80, 4 Zr 2.80-3.10, 4 Re 2.80-3.10
Al2 0.5000 0.0000 0.5000  4 Al 2.79-2.80, 4 Zr 2.80-3.10, 4 Re 2.80-3.10
Re1 0.5000 0.5000 0.0000  2 Re 2.79, 8 Al 2.80-3.10, 2 Zr 2.80

---

12.
A plane-wave DFT calculation with PBE was carried out for Zr2AlRe after structural relaxation.

Calculated volume in Å³ per atom: 18.639
Energy of formation in kJ per mole of atoms: -35
ρ in g/cm3: 8.81

abc: 4.6373 4.6373 3.4670
angles: 90.00 90.00 90.00
With the nearest neighbours (Å) after each atom.
Sites, in units of the cell vectors:
Zr1 0.0000 0.5000 0.0000  4 Re 2.90, 4 Al 2.90
Zr2 0.5000 0.0000 0.0000  4 Re 2.90, 4 Al 2.90
Al1 0.0000 0.0000 0.5000  8 Zr 2.90
Re1 0.5000 0.5000 0.5000  8 Zr 2.90

---

13.
A plane-wave DFT calculation with PBE was carried out for ZrAl2Re after structural relaxation.

Calculated volume in Å³ per atom: 16.656
Energy of formation in kJ per mole of atoms: -21
ρ in g/cm3: 8.26
Excess energy over the best structure of this formula in the dataset in meV per atom: 60.6

abc: 2.9070 4.4429 5.2174
angles: 90.00 98.61 90.00
With the nearest neighbours (Å) after each atom.
Sites, in units of the cell vectors:
Zr1 0.0000 0.0000 0.0000  6 Al 2.69-2.92, 2 Re 2.82, 2 Zr 2.91
Al1 0.5612 0.0000 0.5071  4 Al 2.65-2.91, 2 Zr 2.69-2.89, 2 Re 2.72
Al2 0.5697 0.5000 0.2313  4 Al 2.65-2.91, 3 Re 2.80-2.85, 4 Zr 2.90-2.92
Re1 0.2050 0.5000 0.7037  7 Al 2.72-2.99, 2 Zr 2.82, 2 Re 2.91

---

14.
A plane-wave DFT calculation with PBE was carried out for ZrAl2Re after structural relaxation.

Calculated volume in Å³ per atom: 17.158
Energy of formation in kJ per mole of atoms: -1
ρ in g/cm3: 8.02
Excess energy over the best structure of this formula in the dataset in meV per atom: 267.4

abc: 2.8657 2.8657 8.8143
angles: 90.00 90.00 108.52
With the nearest neighbours (Å) after each atom.
Sites, in units of the cell vectors:
Zr1 0.0000 0.0000 0.0000  2 Re 2.81, 4 Zr 2.87, 2 Al 2.91
Al1 0.0000 0.0000 0.5202  2 Re 2.58, 6 Al 2.76-2.87
Al2 0.5000 0.5000 0.2707  6 Al 2.76-2.87, 2 Zr 2.91
Re1 0.5000 0.5000 0.7435  2 Al 2.58, 2 Zr 2.81, 4 Re 2.87

---

15.
A plane-wave DFT calculation with PBE was carried out for ZrAl2Re after structural relaxation.

Calculated volume in Å³ per atom: 17.120
Energy of formation in kJ per mole of atoms: -25
ρ in g/cm3: 8.04
Excess energy over the best structure of this formula in the dataset in meV per atom: 17.1

abc: 3.3469 3.3469 6.1134
angles: 90.00 90.00 90.00
With the nearest neighbours (Å) after each atom.
Sites, in units of the cell vectors:
Zr1 0.0000 0.0000 0.0000  4 Re 2.81, 5 Al 2.84-3.01
Al1 0.0000 0.0000 0.5348  4 Re 2.71, 4 Al 2.76, 1 Zr 2.84
Al2 0.5000 0.5000 0.3037  1 Re 2.74, 4 Al 2.76, 4 Zr 3.01
Re1 0.5000 0.5000 0.7524  5 Al 2.71-2.74, 4 Zr 2.81

---

16.
A plane-wave DFT calculation with PBE was carried out for Zr2AlRe after structural relaxation.

Calculated volume in Å³ per atom: 20.501
Energy of formation in kJ per mole of atoms: 29
ρ in g/cm3: 8.01

abc: 6.0941 6.0941 6.0941
angles: 102.17 102.17 125.34
With the nearest neighbours (Å) after each atom.
Sites, in units of the cell vectors:
Zr1 0.0896 0.6250 0.9646  2 Re 2.62, 2 Zr 2.85
Zr2 0.3750 0.3396 0.4646  2 Re 2.62, 2 Zr 2.85
Zr3 0.6604 0.1250 0.0354  2 Re 2.62, 2 Zr 2.85
Zr4 0.8750 0.9104 0.5354  2 Re 2.62, 2 Zr 2.85
Al1 0.2500 0.7500 0.5000  2 Re 2.80, 4 Zr 2.99
Al2 0.5000 0.5000 0.0000  2 Re 2.80, 4 Zr 2.99
Re1 0.0000 0.0000 0.0000  4 Zr 2.62, 2 Al 2.80
Re2 0.7500 0.2500 0.5000  4 Zr 2.62, 2 Al 2.80

---

17.
A plane-wave DFT calculation with PBE was carried out for ZrAl2Re after structural relaxation.

Calculated volume in Å³ per atom: 17.166
Energy of formation in kJ per mole of atoms: 4
ρ in g/cm3: 8.01
Excess energy over the best structure of this formula in the dataset in meV per atom: 321.3

abc: 9.5529 9.5529 9.5529
angles: 17.48 17.48 17.48
With the nearest neighbours (Å) after each atom.
Sites, in units of the cell vectors:
Zr1 0.0000 0.0000 0.0000  6 Zr 2.90, 3 Al 3.02, 3 Re 3.04
Al1 0.5033 0.5033 0.5033  3 Re 2.67, 9 Al 2.83-2.90
Al2 0.7558 0.7558 0.7558  9 Al 2.83-2.90, 3 Zr 3.02
Re1 0.2434 0.2434 0.2434  3 Al 2.67, 6 Re 2.90

---

18.
A plane-wave DFT calculation with PBE was carried out for Zr2AlRe after structural relaxation.

Calculated volume in Å³ per atom: 18.124
Energy of formation in kJ per mole of atoms: -14
ρ in g/cm3: 9.06

abc: 4.6803 4.6803 4.6803
angles: 60.00 60.00 60.00
With the nearest neighbours (Å) after each atom.
Sites, in units of the cell vectors:
Zr1 0.0000 0.0000 0.0000  4 Al 2.87, 4 Zr 2.87
Zr2 0.2500 0.2500 0.2500  4 Re 2.87, 4 Zr 2.87
Al1 0.7500 0.7500 0.7500  4 Re 2.87, 4 Zr 2.87
Re1 0.5000 0.5000 0.5000  4 Zr 2.87, 4 Al 2.87

---

19.
A plane-wave DFT calculation with PBE was carried out for ZrAl2Re after structural relaxation.

Calculated volume in Å³ per atom: 16.777
Energy of formation in kJ per mole of atoms: -10
ρ in g/cm3: 8.20
Excess energy over the best structure of this formula in the dataset in meV per atom: 176.2

abc: 4.9916 4.9916 5.0369
angles: 99.09 99.09 32.83
With the nearest neighbours (Å) after each atom.
Sites, in units of the cell vectors:
Zr1 0.0000 0.0000 0.0000  2 Zr 2.82, 3 Re 2.84-3.01, 7 Al 2.86-2.95
Al1 0.2433 0.2433 0.7394  4 Re 2.78-3.01, 5 Al 2.82-2.90, 3 Zr 2.86-2.95
Al2 0.4992 0.4992 0.5008  3 Re 2.75-2.94, 5 Al 2.82-2.90, 4 Zr 2.88-2.89
Re1 0.7629 0.7629 0.2724  7 Al 2.75-3.01, 2 Re 2.82, 3 Zr 2.84-3.01

---

20.
A plane-wave DFT calculation with PBE was carried out for ZrAl2Re after structural relaxation.

Calculated volume in Å³ per atom: 16.859
Energy of formation in kJ per mole of atoms: -21
ρ in g/cm3: 8.16
Excess energy over the best structure of this formula in the dataset in meV per atom: 60.3

abc: 3.1176 3.1176 6.9383
angles: 90.00 90.00 90.00
With the nearest neighbours (Å) after each atom.
Sites, in units of the cell vectors:
Zr1 0.0000 0.0000 0.0000  8 Al 3.01, 4 Zr 3.12
Al1 0.5000 0.5000 0.2958  4 Re 2.62, 1 Al 2.83
Al2 0.5000 0.5000 0.7042  4 Re 2.62, 1 Al 2.83
Re1 0.0000 0.0000 0.5000  8 Al 2.62